20
Lattice="5.127 -4.450 0.000 5.127 4.450 0.000 -2.109 0.000 4.960" Properties=species:S:1:pos:R:3 comment="GGA+U MgCoSi2O6, optimized geometry" total_energy_ha_per_atom=-0.2633 m_tot_mub_per_fu=3.0 space_group="C2/c (15)" pbc="T T T"
Mg 3.545 2.278 3.720
Mg 4.599 -2.278 1.240
Co 4.599 0.889 1.240
Co 3.545 -0.889 3.720
Si 0.636 0.792 3.494
Si 1.691 -0.792 1.014
Si 6.453 0.792 3.946
Si 7.508 -0.792 1.466
O 3.145 2.266 1.728
O 0.745 0.237 1.915
O -0.309 -0.237 4.395
O 2.134 0.839 4.152
O 6.054 2.266 0.752
O 3.189 -0.839 1.672
O 4.955 0.839 3.288
O 2.090 -2.266 4.208
O 6.010 -0.839 0.808
O 8.453 0.237 0.566
O 7.399 -0.237 3.046
O 4.999 -2.266 3.232